Record 1
A geometry-optimized KSr2IrN structure. Source: the Alexandria database, functional PBE.

Lattice parameters (Å, degrees): 5.137 5.052 5.137 90.00 90.00 90.00
Positions (direct):
K: 0.000 0.500 0.000
Sr: 0.500 0.000 0.000
Sr: 0.000 0.000 0.500
Ir: 0.500 0.500 0.500
N: 0.000 0.000 0.000

## Properties
Energy = -4.030 eV per atom
Formation energy from raw total energies = 0.30 eV/atom
Total moment = 0.2013 μB per atom
Density = 5.2 Mg/m³



Record 2
A geometry-optimized KTe2IrN structure. Source: the Alexandria database, functional PBE.

Lattice parameters (Å, degrees): 5.773 5.773 3.955 90.00 90.00 90.00
Positions (direct):
N: 0.000 0.000 0.500
Ir: 0.500 0.500 0.500
K: 0.000 0.000 0.000
Te: 0.000 0.500 0.000
Te: 0.500 0.000 0.000

## Properties
Energy = -2.499 eV per atom
Formation energy from raw total energies = 2.41 eV/atom
Distance to the lowest polymorph of the same formula = 2433 meV per atom
Total moment = 0.3795 μB per atom
Density = 6.3 Mg/m³